(1)
Tb3Al4Ga2, relaxed, DFT PBE; energy relative to the elements = -551 meV per atom; SG = C2/m, No. 12
1.0
5.300 -2.242 0.000
5.300 2.242 0.000
-3.268 0.000 7.923
Tb Al Ga
3 4 2
Direct
0.000 0.000 0.000
0.330 0.330 0.338
0.670 0.670 0.662
0.044 0.044 0.377
0.269 0.269 0.935
0.731 0.731 0.065
0.956 0.956 0.623
0.389 0.389 0.722
0.611 0.611 0.278


(2)
Tb2Th2AlGa4, relaxed, DFT PBE; energy relative to the elements = -162 meV per atom; SG = I4/mmm, No. 139
1.0
-3.516 3.516 4.586
3.516 -3.516 4.586
3.516 3.516 -4.586
Tb Th Al Ga
2 2 1 4
Direct
0.250 0.750 0.500
0.750 0.250 0.500
0.193 0.193 0.000
0.807 0.807 0.000
0.500 0.500 0.000
0.252 0.252 0.504
0.252 0.748 0.000
0.748 0.252 0.000
0.748 0.748 0.496


(3)
TbThAl2Ga2, relaxed, DFT PBE; energy relative to the elements = -566 meV per atom; SG = P-3m1, No. 164
1.0
4.295 0.000 0.000
-2.148 3.720 0.000
0.000 0.000 8.350
Tb Th Al Ga
1 1 2 2
Direct
0.000 0.000 0.000
0.000 0.000 0.500
0.333 0.667 0.245
0.667 0.333 0.755
0.333 0.667 0.759
0.667 0.333 0.241


(4)
Tb2TmAl2Ga2, relaxed, DFT PBE; energy relative to the elements = -374 meV per atom; SG = R-3m, No. 166
1.0
2.130 1.230 10.612
-2.130 1.230 10.612
0.000 -2.460 10.612
Tb Tm Al Ga
2 1 2 2
Direct
0.124 0.124 0.124
0.876 0.876 0.876
0.000 0.000 0.000
0.391 0.391 0.391
0.609 0.609 0.609
0.264 0.264 0.264
0.736 0.736 0.736


(5)
TbTm2Al2Ga2, relaxed, DFT PBE; energy relative to the elements = -368 meV per atom; SG = R-3m, No. 166
1.0
2.182 1.260 9.685
-2.182 1.260 9.685
0.000 -2.520 9.685
Tb Tm Al Ga
1 2 2 2
Direct
0.000 0.000 0.000
0.128 0.128 0.128
0.872 0.872 0.872
0.396 0.396 0.396
0.604 0.604 0.604
0.257 0.257 0.257
0.743 0.743 0.743


(6)
Tb2YAl2Ga2, relaxed, DFT PBE; energy relative to the elements = -403 meV per atom; SG = R-3m, No. 166
1.0
2.130 1.230 10.787
-2.130 1.230 10.787
0.000 -2.459 10.787
Tb Y Al Ga
2 1 2 2
Direct
0.125 0.125 0.125
0.875 0.875 0.875
0.000 0.000 0.000
0.392 0.392 0.392
0.608 0.608 0.608
0.262 0.262 0.262
0.738 0.738 0.738